This record from Alexandria describes crystalline AcPuMg at its relaxed geometry. The functional is PBE-GGA.

Cell lengths 3.644, 3.644, 8.666 Å; angles 90.00, 90.00, 120.00 degrees
Fractional positions:
Ac: 0.333 0.667 0.662
Mg: 0.667 0.333 0.322
Pu: 0.000 0.000 0.016

Values from the calculation:
The formation energy comes out at 5.936 kcal/mol of atoms. As for the calculated density: 8.3 g/cm3. As for the distance to the lowest polymorph of the same formula: 0.073 eV per atom. Its space group is P3m1.

This record from Alexandria describes crystalline AcPuMg at its relaxed geometry. The functional is PBE-GGA.

Cell lengths 3.576, 11.877, 9.117 Å; angles 29.74, 90.00, 98.66 degrees
Fractional positions:
Mg: 0.177 0.354 0.541
Mg: 0.823 0.646 0.459
Pu: 0.284 0.568 0.857
Pu: 0.716 0.432 0.143
Ac: 0.059 0.117 0.178
Ac: 0.941 0.883 0.822

Values from the calculation:
The formation energy comes out at 7.476 kcal/mol of atoms. As for the calculated density: 9.0 g/cm3. As for the distance to the lowest polymorph of the same formula: 0.140 eV per atom. Its space group is C2/m.

This record from Alexandria describes crystalline AcPuMg at its relaxed geometry. The functional is PBE-GGA.

Cell lengths 3.813, 3.813, 7.283 Å; angles 105.17, 105.17, 90.00 degrees
Fractional positions:
Ac: 0.006 0.006 0.012
Mg: 0.676 0.676 0.353
Pu: 0.318 0.318 0.635

Values from the calculation:
The formation energy comes out at 4.254 kcal/mol of atoms. As for the calculated density: 8.4 g/cm3. As for the distance to the lowest polymorph of the same formula: 0.000 eV per atom. Its space group is I4mm.

This record from Alexandria describes crystalline Ac2PuMg at its relaxed geometry. The functional is PBE-GGA.

Cell lengths 3.667, 3.667, 12.957 Å; angles 81.86, 81.86, 60.00 degrees
Fractional positions:
Ac: 0.091 0.091 0.727
Ac: 0.909 0.909 0.273
Mg: 0.500 0.500 0.500
Pu: 0.000 0.000 0.000

Values from the calculation:
The formation energy comes out at 8.983 kcal/mol of atoms. As for the calculated density: 8.1 g/cm3. As for the distance to the lowest polymorph of the same formula: 0.271 eV per atom. Its space group is R-3m.

This record from Alexandria describes crystalline AcPuMg2 at its relaxed geometry. The functional is PBE-GGA.

Cell lengths 3.964, 3.964, 7.885 Å; angles 90.00, 90.00, 90.00 degrees
Fractional positions:
Ac: 0.500 0.500 0.500
Mg: 0.000 0.000 0.775
Mg: 0.000 0.000 0.225
Pu: 0.500 0.500 0.000

Values from the calculation:
The formation energy comes out at 2.456 kcal/mol of atoms. As for the calculated density: 7.0 g/cm3. As for the distance to the lowest polymorph of the same formula: 0.000 eV per atom. Its space group is P4/mmm.

This record from Alexandria describes crystalline Ac2PuMg at its relaxed geometry. The functional is PBE-GGA.

Cell lengths 3.889, 6.004, 6.004 Å; angles 90.00, 90.00, 90.00 degrees
Fractional positions:
Ac: 0.000 0.000 0.500
Ac: 0.000 0.500 0.000
Mg: 0.500 0.500 0.500
Pu: 0.500 0.000 0.000

Values from the calculation:
The formation energy comes out at 2.724 kcal/mol of atoms. As for the calculated density: 8.6 g/cm3. As for the distance to the lowest polymorph of the same formula: 0.000 eV per atom. Its space group is P4/mmm.

This record from Alexandria describes crystalline AcPuMg2 at its relaxed geometry. The functional is PBE-GGA.

Cell lengths 5.623, 5.623, 5.623 Å; angles 60.00, 60.00, 60.00 degrees
Fractional positions:
Ac: 0.500 0.500 0.500
Mg: 0.250 0.250 0.250
Mg: 0.750 0.750 0.750
Pu: 0.000 0.000 0.000

Values from the calculation:
The formation energy comes out at 3.141 kcal/mol of atoms. As for the calculated density: 6.9 g/cm3. As for the distance to the lowest polymorph of the same formula: 0.030 eV per atom. Its space group is Fm-3m.

This record from Alexandria describes crystalline Ac2PuMg16 at its relaxed geometry. The functional is PBE-GGA.

Cell lengths 7.986, 7.986, 7.986 Å; angles 82.84, 82.84, 82.84 degrees
Fractional positions:
Ac: 0.668 0.668 0.668
Ac: 0.340 0.340 0.340
Pu: 0.906 0.906 0.906
Mg: 0.700 0.000 0.297
Mg: 0.000 0.297 0.700
Mg: 0.297 0.700 0.000
Mg: 0.000 0.700 0.297
Mg: 0.700 0.297 0.000
Mg: 0.297 0.000 0.700
Mg: 0.350 0.839 0.350
Mg: 0.839 0.350 0.350
Mg: 0.350 0.350 0.839
Mg: 0.648 0.153 0.648
Mg: 0.153 0.648 0.648
Mg: 0.648 0.648 0.153
Mg: 0.001 0.492 0.001
Mg: 0.492 0.001 0.001
Mg: 0.001 0.001 0.492
Mg: 0.111 0.111 0.111

Values from the calculation:
The formation energy comes out at -0.389 kcal/mol of atoms. As for the calculated density: 3.6 g/cm3. Its space group is R3m.

This record from Alexandria describes crystalline AcPuMg4 at its relaxed geometry. The functional is PBE-GGA.

Cell lengths 6.214, 6.214, 6.214 Å; angles 60.00, 60.00, 60.00 degrees
Fractional positions:
Ac: 0.000 0.000 0.000
Mg: 0.625 0.625 0.126
Mg: 0.625 0.126 0.625
Mg: 0.625 0.625 0.625
Mg: 0.126 0.625 0.625
Pu: 0.250 0.250 0.250

Values from the calculation:
The formation energy comes out at 0.886 kcal/mol of atoms. As for the calculated density: 5.6 g/cm3. Its space group is F-43m.

This record from Alexandria describes crystalline Ac2PuMg at its relaxed geometry. The functional is PBE-GGA.

Cell lengths 5.858, 5.858, 5.858 Å; angles 60.00, 60.00, 60.00 degrees
Fractional positions:
Ac: 0.250 0.250 0.250
Ac: 0.750 0.750 0.750
Mg: 0.000 0.000 0.000
Pu: 0.500 0.500 0.500

Values from the calculation:
The formation energy comes out at 3.928 kcal/mol of atoms. As for the calculated density: 8.4 g/cm3. As for the distance to the lowest polymorph of the same formula: 0.052 eV per atom. Its space group is Fm-3m.

This record from Alexandria describes crystalline Ac2PuMg2Sb4 at its relaxed geometry. The functional is PBE-GGA.

Cell lengths 4.533, 7.980, 8.556 Å; angles 108.54, 105.36, 90.00 degrees
Fractional positions:
Ac: 0.128 0.567 0.257
Ac: 0.872 0.433 0.743
Pu: 0.000 0.000 0.000
Mg: 0.674 0.996 0.349
Mg: 0.326 0.004 0.651
Sb: 0.212 0.227 0.423
Sb: 0.788 0.773 0.577
Sb: 0.511 0.733 0.021
Sb: 0.489 0.267 0.979

Values from the calculation:
The calculation puts the uncorrected formation energy at -0.771 eV/atom. As for the calculated density: 7.3 g/cm3. Its space group is C2/m.

This record from Alexandria describes crystalline AcPuMgSb at its relaxed geometry. The functional is PBE-GGA.

Cell lengths 5.578, 5.578, 5.578 Å; angles 60.00, 60.00, 60.00 degrees
Fractional positions:
Sb: 0.500 0.500 0.500
Ac: 0.250 0.250 0.250
Mg: 0.000 0.000 0.000
Pu: 0.750 0.750 0.750

Values from the calculation:
The calculation puts the uncorrected formation energy at -0.250 eV/atom. As for the calculated density: 8.3 g/cm3. Its space group is F-43m.

no.,E (eV per atom),size of the total moment (μB per formula unit)
1,-6.421,6.1
2,-6.354,0.0
3,-6.494,6.3
4,-5.646,6.7
5,-5.301,6.2
6,-5.918,6.8
7,-5.271,6.4
8,-2.546,6.5
9,-4.098,5.9
10,-5.866,6.3
11,-5.463,5.8
12,-6.289,6.8